Record 1
InIr2W: optimized geometry, PBE.

Geometry as CIF:
```
data_InIr2W
_cell_length_a 6.389
_cell_length_b 6.389
_cell_length_c 6.389
_cell_angle_alpha 90.00
_cell_angle_beta 90.00
_cell_angle_gamma 90.00
_symmetry_space_group_name_H-M 'F -4 3 m'
_symmetry_Int_Tables_number 216
_symmetry_space_group_name_Hall 'F -4 2 3'
loop_
_atom_site_label
_atom_site_type_symbol
_atom_site_fract_x
_atom_site_fract_y
_atom_site_fract_z
In1 In 0.000 0.000 0.000
Ir1 Ir 0.000 0.000 0.500
Ir2 Ir 0.250 0.250 0.750
W1 W 0.250 0.250 0.250
```

Summary:
The total energy is -0.585 Ry per atom.

---

Record 2
HgPbO3: optimized geometry, PBE.

Geometry as CIF:
```
data_HgPbO3
_cell_length_a 5.816
_cell_length_b 8.351
_cell_length_c 5.774
_cell_angle_alpha 90.00
_cell_angle_beta 90.00
_cell_angle_gamma 90.00
_symmetry_space_group_name_H-M 'P n m a'
_symmetry_Int_Tables_number 62
_symmetry_space_group_name_Hall '-P 2ac 2n'
loop_
_atom_site_label
_atom_site_type_symbol
_atom_site_fract_x
_atom_site_fract_y
_atom_site_fract_z
Hg1 Hg 0.045 0.250 0.010
Pb1 Pb 0.000 0.000 0.500
O1 O 0.074 0.750 0.379
O2 O 0.193 0.568 0.812
```

Summary:
The total energy is -0.319 Ry per atom.

---

Record 3
MgZrMoW: optimized geometry, PBE.

Geometry as CIF:
```
data_MgZrMoW
_cell_length_a 6.595
_cell_length_b 6.595
_cell_length_c 6.595
_cell_angle_alpha 90.00
_cell_angle_beta 90.00
_cell_angle_gamma 90.00
_symmetry_space_group_name_H-M 'F -4 3 m'
_symmetry_Int_Tables_number 216
_symmetry_space_group_name_Hall 'F -4 2 3'
loop_
_atom_site_label
_atom_site_type_symbol
_atom_site_fract_x
_atom_site_fract_y
_atom_site_fract_z
Mg1 Mg 0.000 0.000 0.000
Zr1 Zr 0.250 0.250 0.750
Mo1 Mo 0.250 0.250 0.250
W1 W 0.000 0.000 0.500
```

Summary:
The offset from the most stable computed form comes out at 0 meV/atom.

---

Record 4
CoNiAgGe: optimized geometry, PBE.

Geometry as CIF:
```
data_CoNiAgGe
_cell_length_a 5.992
_cell_length_b 5.992
_cell_length_c 5.992
_cell_angle_alpha 90.00
_cell_angle_beta 90.00
_cell_angle_gamma 90.00
_symmetry_space_group_name_H-M 'F -4 3 m'
_symmetry_Int_Tables_number 216
_symmetry_space_group_name_Hall 'F -4 2 3'
loop_
_atom_site_label
_atom_site_type_symbol
_atom_site_fract_x
_atom_site_fract_y
_atom_site_fract_z
Co1 Co 0.000 0.000 0.000
Ni1 Ni 0.250 0.250 0.250
Ag1 Ag 0.000 0.000 0.500
Ge1 Ge 0.250 0.250 0.750
```

Summary:
The offset from the most stable computed form comes out at 117 meV/atom.